Entry 1:
# TiCuSn2S5 | Alexandria via LeMat-Bulk | GGA-PBE | relaxed
data_TiCuSn2S5
_space_group_name_H-M_alt 'C m c 21'
_space_group_IT_number 36
_space_group_name_Hall 'C 2c -2'
_cell_length_a 3.644
_cell_length_b 17.870
_cell_length_c 12.197
_cell_angle_alpha 90.00
_cell_angle_beta 90.00
_cell_angle_gamma 90.00
loop_
_atom_site_label
_atom_site_fract_x
_atom_site_fract_y
_atom_site_fract_z
_atom_site_occupancy
Ti1 0.000 0.202 0.000 1
Cu1 0.000 0.419 0.430 1
Sn1 0.000 0.085 0.260 1
Sn2 0.000 0.145 0.653 1
S1 0.000 0.068 0.039 1
S2 0.000 0.291 0.644 1
S3 0.000 0.297 0.368 1
S4 0.000 0.342 0.002 1
S5 0.000 0.480 0.265 1
# - Uncorrected energy: -185.329 eV for the cell shown
# - Size of the total moment: 0.00 μB per formula unit

***

Entry 2:
# TlCu2SnS4 | Alexandria via LeMat-Bulk | GGA-PBE | relaxed
data_TlCu2SnS4
_space_group_name_H-M_alt 'I -4 2 m'
_space_group_IT_number 121
_space_group_name_Hall 'I -4 2'
_cell_length_a 5.906
_cell_length_b 5.906
_cell_length_c 10.687
_cell_angle_alpha 90.00
_cell_angle_beta 90.00
_cell_angle_gamma 90.00
loop_
_atom_site_label
_atom_site_fract_x
_atom_site_fract_y
_atom_site_fract_z
_atom_site_occupancy
Tl1 0.000 0.000 0.000 1
Cu1 0.000 0.500 0.250 1
Sn1 0.000 0.000 0.500 1
S1 0.224 0.224 0.650 1
# - Uncorrected energy: -66.425 eV for the cell shown
# - Size of the total moment: 0.00 μB per formula unit

***

Entry 3:
# Tl2Cu2SnS4 | Alexandria via LeMat-Bulk | GGA-PBE | relaxed
data_Tl2Cu2SnS4
_space_group_name_H-M_alt 'C 1 2/m 1'
_space_group_IT_number 12
_space_group_name_Hall '-C 2y'
_cell_length_a 14.560
_cell_length_b 3.894
_cell_length_c 7.599
_cell_angle_alpha 90.00
_cell_angle_beta 111.34
_cell_angle_gamma 90.00
loop_
_atom_site_label
_atom_site_fract_x
_atom_site_fract_y
_atom_site_fract_z
_atom_site_occupancy
Tl1 0.137 0.000 0.061 1
Cu1 0.193 0.500 0.491 1
Sn1 0.000 0.000 0.500 1
S1 0.027 0.500 0.284 1
S2 0.194 0.000 0.671 1
# - Uncorrected energy: -72.871 eV for the cell shown
# - Size of the total moment: 0.00 μB per formula unit

***

Entry 4:
# TlCuSnS3 | Alexandria via LeMat-Bulk | GGA-PBE | relaxed
data_TlCuSnS3
_space_group_name_H-M_alt 'P 1 21/m 1'
_space_group_IT_number 11
_space_group_name_Hall '-P 2yb'
_cell_length_a 8.875
_cell_length_b 3.880
_cell_length_c 8.894
_cell_angle_alpha 90.00
_cell_angle_beta 108.77
_cell_angle_gamma 90.00
loop_
_atom_site_label
_atom_site_fract_x
_atom_site_fract_y
_atom_site_fract_z
_atom_site_occupancy
Tl1 0.199 0.250 0.251 1
Cu1 0.070 0.250 0.580 1
Sn1 0.331 0.750 0.852 1
S1 0.135 0.250 0.860 1
S2 0.209 0.750 0.546 1
S3 0.464 0.750 0.158 1
# - Uncorrected energy: -49.936 eV for the cell shown
# - Size of the total moment: 0.00 μB per formula unit

***

Entry 5:
# Tl2CuSnS | Alexandria via LeMat-Bulk | GGA-PBE | relaxed
data_Tl2CuSnS
_space_group_name_H-M_alt 'P 4/m m m'
_space_group_IT_number 123
_space_group_name_Hall '-P 4 2'
_cell_length_a 5.973
_cell_length_b 5.973
_cell_length_c 5.001
_cell_angle_alpha 90.00
_cell_angle_beta 90.00
_cell_angle_gamma 90.00
loop_
_atom_site_label
_atom_site_fract_x
_atom_site_fract_y
_atom_site_fract_z
_atom_site_occupancy
Tl1 0.000 0.500 0.000 1
Cu1 0.000 0.000 0.500 1
Sn1 0.500 0.500 0.000 1
S1 0.500 0.500 0.500 1
# - Uncorrected energy: -14.017 eV for the cell shown
# - Size of the total moment: 0.00 μB per formula unit

***

Entry 6:
# Tl2Cu2SnS4 | Alexandria via LeMat-Bulk | GGA-PBE | relaxed
data_Tl2Cu2SnS4
_space_group_name_H-M_alt 'I b a m'
_space_group_IT_number 72
_space_group_name_Hall '-I 2 2c'
_cell_length_a 5.306
_cell_length_b 11.685
_cell_length_c 13.732
_cell_angle_alpha 90.00
_cell_angle_beta 90.00
_cell_angle_gamma 90.00
loop_
_atom_site_label
_atom_site_fract_x
_atom_site_fract_y
_atom_site_fract_z
_atom_site_occupancy
Tl1 0.237 0.120 0.000 1
Cu1 0.000 0.226 0.250 1
Sn1 0.000 0.500 0.250 1
S1 0.232 0.368 0.145 1
# - Uncorrected energy: -145.124 eV for the cell shown
# - Size of the total moment: 0.00 μB per formula unit

***

Entry 7:
# U3Cu4SnS12 | Alexandria via LeMat-Bulk | GGA-PBE | relaxed
data_U3Cu4SnS12
_space_group_name_H-M_alt 'R 3 2'
_space_group_IT_number 155
_space_group_name_Hall 'R 3 2"'
_cell_length_a 13.3675
_cell_length_b 13.3675
_cell_length_c 9.5536
_cell_angle_alpha 90.00
_cell_angle_beta 90.00
_cell_angle_gamma 120.00
loop_
_atom_site_label
_atom_site_fract_x
_atom_site_fract_y
_atom_site_fract_z
_atom_site_occupancy
U1 0.0000 0.5589 0.0000 1
Cu1 0.0000 0.0000 0.5000 1
Cu2 0.0000 0.4275 0.5000 1
Sn1 0.0000 0.0000 0.0000 1
S1 0.0000 0.5977 0.5000 1
S2 0.0000 0.8392 0.5000 1
S3 0.0518 0.2067 0.1810 1
# - Uncorrected energy: -352.031 eV for the cell shown
# - Size of the total moment: 0.00 μB per formula unit

***

Entry 8:
# UCuSn2S5 | Alexandria via LeMat-Bulk | GGA-PBE | relaxed
data_UCuSn2S5
_space_group_name_H-M_alt 'C m c 21'
_space_group_IT_number 36
_space_group_name_Hall 'C 2c -2'
_cell_length_a 3.948
_cell_length_b 18.966
_cell_length_c 12.168
_cell_angle_alpha 90.00
_cell_angle_beta 90.00
_cell_angle_gamma 90.00
loop_
_atom_site_label
_atom_site_fract_x
_atom_site_fract_y
_atom_site_fract_z
_atom_site_occupancy
U1 0.000 0.201 0.000 1
Cu1 0.000 0.423 0.417 1
Sn1 0.000 0.072 0.250 1
Sn2 0.000 0.143 0.638 1
S1 0.000 0.064 0.018 1
S2 0.000 0.286 0.646 1
S3 0.000 0.307 0.358 1
S4 0.000 0.340 0.989 1
S5 0.000 0.481 0.250 1
# - Uncorrected energy: -202.539 eV for the cell shown
# - Size of the total moment: 1.00 μB per formula unit

***

Question: uncorrected energy of number 1 (TiCuSn2S5)?
Answer: -185.329 eV for the cell shown

***

Question: Which value of uncorrected energy does entry 3 give?
Answer: -72.871 eV for the cell shown

***

Question: Which of these has the highest uncorrected energy?
Answer: Tl2CuSnS